Computed, not measured: Rb3Zr3PdS8 after structural relaxation at the PBE-GGA level of DFT.

It has space group C2/m (No. 12), with a = 13.657 Å, b = 7.269 Å, c = 9.083 Å, α = 90.00°, β = 121.66° and γ = 90.00°. Symmetry generates all atoms from Rb at (0.000, 0.000, 0.000), Rb at (0.250, 0.250, 0.000), Zr at (0.000, 0.500, 0.500), Zr at (0.250, 0.250, 0.500), Pd at (0.000, 0.000, 0.500), S at (0.022, 0.232, 0.330), S at (0.216, 0.500, 0.281) and S at (0.228, 0.500, 0.690).

For the raw formation energy, the calculation gives -1297.1 meV per atom. The value obtained for the total energy is -5.748 eV/atom. The spin magnetization is 0.0 μB per cell.

Computed, not measured: UAu2I8 after structural relaxation at the PBE-GGA level of DFT.

It has space group C2/m (No. 12), with a = 13.007 Å, b = 10.328 Å, c = 7.758 Å, α = 90.00°, β = 96.05° and γ = 90.00°. Symmetry generates all atoms from U at (0.000, 0.000, 0.000), Au at (0.222, 0.000, 0.787), I at (0.089, 0.500, 0.296), I at (0.102, 0.212, 0.827) and I at (0.164, 0.000, 0.282).

For the raw formation energy, the calculation gives -387.4 meV per atom. The value obtained for the total energy is -3.137 eV/atom. The calculation puts the distance to the lowest polymorph of the same formula at 0.0214 eV/atom. The spin magnetization is 1.2 μB per cell.

Computed, not measured: V6Cr5Tc after structural relaxation at the PBE-GGA level of DFT.

It has space group C2/m (No. 12), with a = 13.149 Å, b = 5.871 Å, c = 4.141 Å, α = 90.00°, β = 108.29° and γ = 90.00°. Symmetry generates all atoms from V at (0.000, 0.245, 0.000), V at (0.168, 0.248, 0.668), Cr at (0.000, 0.000, 0.500), Cr at (0.167, 0.000, 0.167), Cr at (0.168, 0.500, 0.169) and Tc at (0.000, 0.500, 0.500).

The value obtained for the total energy is -9.579 eV/atom. The spin magnetization is 0.0 μB per cell.

Computed, not measured: YInAgRh after structural relaxation at the PBE-GGA level of DFT.

It has space group F-43m (No. 216), with a = 6.839 Å, b = 6.839 Å, c = 6.839 Å, α = 90.00°, β = 90.00° and γ = 90.00°. Symmetry generates all atoms from Y at (0.000, 0.000, 0.000), In at (0.000, 0.000, 0.500), Ag at (0.250, 0.250, 0.750) and Rh at (0.250, 0.250, 0.250).

The value obtained for the total energy is -5.321 eV/atom. The spin magnetization is 0.0 μB per cell.

Computed, not measured: ScBe2In after structural relaxation at the PBE-GGA level of DFT.

It has space group Pmmm (No. 47), with a = 3.151 Å, b = 4.099 Å, c = 5.247 Å, α = 90.00°, β = 90.00° and γ = 90.00°. Symmetry generates all atoms from Sc at (0.000, 0.000, 0.000), Be at (0.500, 0.500, 0.205) and In at (0.500, 0.000, 0.500).

The value obtained for the total energy is -4.012 eV/atom. The spin magnetization is 0.0 μB per cell.

Computed, not measured: AgGePt2 after structural relaxation at the PBE-GGA level of DFT.

It has space group R-3m (No. 166, hexagonal axes), with a = 4.2385 Å, b = 4.2385 Å, c = 13.1812 Å, α = 90.00°, β = 90.00° and γ = 120.00°. Symmetry generates all atoms from Ag at (0.0000, 0.0000, 0.0000), Ge at (0.0000, 0.0000, 0.5000) and Pt at (0.0000, 0.0000, 0.2242).

The value obtained for the total energy is -5.000 eV/atom. The spin magnetization is 0.0 μB per cell.

Question: spin magnetization of number 6 (AgGePt2)?
Answer: 0.0 μB per cell